[1]
A plane-wave DFT calculation with PBEsol was carried out for a geometry-optimized TaZnO2 structure.

The value obtained for the uncorrected formation energy is -1357 meV per atom. The symmetry is No. 141. The calculation puts the calculated volume at 326.58 Å³/cell. The calculation puts the spin magnetization at 0.01 μB/cell.

Unit cell a=5.834 b=5.834 c=9.595 alpha=90.00 beta=90.00 gamma=90.00
Atoms (fractional coordinates):
Ta1 0.000 0.250 0.375
Ta2 0.000 0.750 0.625
Ta3 0.500 0.250 0.125
Ta4 0.500 0.750 0.875
Zn1 0.000 0.250 0.875
Zn2 0.000 0.750 0.125
Zn3 0.500 0.250 0.625
Zn4 0.500 0.750 0.375
O1 0.000 0.000 0.500
O2 0.000 0.500 0.500
O3 0.250 0.250 0.250
O4 0.250 0.750 0.750
O5 0.500 0.000 0.000
O6 0.500 0.500 0.000
O7 0.750 0.250 0.250
O8 0.750 0.750 0.750

---

[2]
A plane-wave DFT calculation with PBEsol was carried out for a geometry-optimized AgPSe2 structure.

The value obtained for the uncorrected formation energy is 146 meV per atom. The symmetry is No. 12. The calculation puts the calculated volume at 154.82 Å³/cell. The calculation puts the spin magnetization at 0.00 μB/cell.

Unit cell a=7.418 b=7.416 c=2.815 alpha=90.00 beta=90.96 gamma=90.00
Atoms (fractional coordinates):
Ag1 0.000 0.000 0.000
Ag2 0.500 0.500 0.000
P1 0.000 0.500 0.000
P2 0.500 0.000 0.000
Se1 0.250 0.250 0.000
Se2 0.250 0.750 0.000
Se3 0.750 0.250 0.000
Se4 0.750 0.750 0.000

---

[3]
A plane-wave DFT calculation with PBEsol was carried out for a geometry-optimized ScTa2Cu structure.

The symmetry is No. 47. The calculation puts the calculated volume at 68.19 Å³/cell. The calculation puts the spin magnetization at 0.00 μB/cell. The value obtained for the formation energy is 0.1477 eV per atom.

Unit cell a=3.181 b=4.421 c=4.849 alpha=90.00 beta=90.00 gamma=90.00
Atoms (fractional coordinates):
Sc1 0.000 0.000 0.000
Ta1 0.000 0.500 0.500
Ta2 0.500 0.000 0.500
Cu1 0.500 0.500 0.000